The following is a DFT calculation (PBEsol) of a relaxed structure of ScZn2.

Cell: 4.386 5.567 8.052 Å, 90.00 90.00 90.00°
Atoms (fractional coordinates):
Sc 0.750 0.814 0.080
Sc 0.250 0.686 0.580
Sc 0.750 0.314 0.420
Sc 0.250 0.186 0.920
Zn 0.750 0.974 0.731
Zn 0.750 0.821 0.412
Zn 0.250 0.679 0.912
Zn 0.250 0.526 0.231
Zn 0.750 0.474 0.769
Zn 0.750 0.321 0.088
Zn 0.250 0.179 0.588
Zn 0.250 0.026 0.269

Uncorrected energy: -43.0 eV/cell
Energy relative to the elements: -0.325 eV/atom

The following is a DFT calculation (PBEsol) of a relaxed structure of ScZn2.

Cell: 4.057 4.343 5.922 Å, 90.00 110.03 90.00°
Atoms (fractional coordinates):
Sc 0.906 0.750 0.811
Sc 0.094 0.250 0.189
Zn 0.595 0.750 0.190
Zn 0.405 0.250 0.810
Zn 0.239 0.750 0.478
Zn 0.761 0.250 0.522

Uncorrected energy: -21.3 eV/cell
Energy relative to the elements: -0.295 eV/atom

The following is a DFT calculation (PBEsol) of a relaxed structure of ScZn3.

Cell: 5.702 5.702 9.051 Å, 90.00 90.00 120.00°
Atoms (fractional coordinates):
Sc 0.000 0.000 0.000
Sc 0.000 0.000 0.500
Sc 0.667 0.333 0.750
Sc 0.333 0.667 0.250
Zn 0.000 0.500 0.000
Zn 0.000 0.500 0.500
Zn 0.826 0.174 0.250
Zn 0.826 0.652 0.250
Zn 0.652 0.826 0.750
Zn 0.500 0.500 0.000
Zn 0.500 0.500 0.500
Zn 0.500 0.000 0.000
Zn 0.500 0.000 0.500
Zn 0.348 0.174 0.250
Zn 0.174 0.348 0.750
Zn 0.174 0.826 0.750

Uncorrected energy: -49.7 eV/cell
Energy relative to the elements: -0.271 eV/atom

The following is a DFT calculation (PBEsol) of a relaxed structure of ScZn8.

Cell: 3.977 6.118 6.118 Å, 83.94 71.03 71.03°
Atoms (fractional coordinates):
Sc 0.000 0.000 0.000
Zn 0.674 0.651 0.000
Zn 0.326 0.349 0.000
Zn 0.000 0.659 0.341
Zn 0.326 0.000 0.349
Zn 0.659 0.341 0.341
Zn 0.674 0.000 0.651
Zn 0.000 0.341 0.659
Zn 0.341 0.659 0.659

Uncorrected energy: -20.5 eV/cell
Energy relative to the elements: -0.136 eV/atom

The following is a DFT calculation (PBEsol) of a relaxed structure of ScZn3.

Cell: 4.202 4.202 7.722 Å, 105.79 105.79 90.00°
Atoms (fractional coordinates):
Sc 0.630 0.630 0.261
Sc 0.370 0.370 0.739
Zn 0.500 0.000 0.000
Zn 0.000 0.500 0.000
Zn 0.250 0.750 0.500
Zn 0.750 0.250 0.500
Zn 0.869 0.869 0.737
Zn 0.131 0.131 0.263

Uncorrected energy: -24.8 eV/cell
Energy relative to the elements: -0.265 eV/atom

The following is a DFT calculation (PBEsol) of a relaxed structure of ScZn2.

Cell: 4.538 4.538 5.522 Å, 90.00 90.00 120.00°
Atoms (fractional coordinates):
Sc 0.667 0.333 0.750
Sc 0.333 0.667 0.250
Zn 0.000 0.000 0.000
Zn 0.000 0.000 0.500
Zn 0.667 0.333 0.250
Zn 0.333 0.667 0.750

Uncorrected energy: -21.4 eV/cell
Energy relative to the elements: -0.306 eV/atom

The following is a DFT calculation (PBEsol) of a relaxed structure of Sc3Zn.

Cell: 4.882 6.191 6.191 Å, 120.00 90.00 90.00°
Atoms (fractional coordinates):
Sc 0.750 0.173 0.345
Sc 0.250 0.827 0.655
Sc 0.750 0.173 0.827
Sc 0.250 0.827 0.173
Sc 0.750 0.655 0.827
Sc 0.250 0.345 0.173
Zn 0.750 0.667 0.333
Zn 0.250 0.333 0.667

Uncorrected energy: -43.9 eV/cell
Energy relative to the elements: -0.133 eV/atom

The following is a DFT calculation (PBEsol) of a relaxed structure of ScZn13.

Cell: 8.387 8.387 8.387 Å, 60.00 60.00 60.00°
Atoms (fractional coordinates):
Sc 0.250 0.250 0.250
Sc 0.750 0.750 0.750
Zn 0.441 0.559 0.801
Zn 0.199 0.801 0.559
Zn 0.801 0.199 0.441
Zn 0.559 0.441 0.199
Zn 0.199 0.441 0.801
Zn 0.441 0.199 0.559
Zn 0.559 0.801 0.441
Zn 0.801 0.559 0.199
Zn 0.559 0.199 0.801
Zn 0.801 0.441 0.559
Zn 0.199 0.559 0.441
Zn 0.441 0.801 0.199
Zn 0.059 0.699 0.941
Zn 0.301 0.941 0.699
Zn 0.699 0.059 0.301
Zn 0.941 0.301 0.059
Zn 0.301 0.699 0.059
Zn 0.059 0.941 0.301
Zn 0.941 0.059 0.699
Zn 0.699 0.301 0.941
Zn 0.941 0.699 0.301
Zn 0.699 0.941 0.059
Zn 0.301 0.059 0.941
Zn 0.059 0.301 0.699
Zn 0.500 0.500 0.500
Zn 0.000 0.000 0.000

Uncorrected energy: -56.6 eV/cell
Energy relative to the elements: -0.081 eV/atom

The following is a DFT calculation (PBEsol) of a relaxed structure of Sc8Zn.

Cell: 4.420 7.067 7.067 Å, 84.39 71.78 71.78°
Atoms (fractional coordinates):
Sc 0.339 0.322 0.000
Sc 0.661 0.678 0.000
Sc 0.669 0.331 0.331
Sc 0.339 0.000 0.322
Sc 0.000 0.669 0.331
Sc 0.661 0.000 0.678
Sc 0.331 0.669 0.669
Sc 0.000 0.331 0.669
Zn 0.000 0.000 0.000

Uncorrected energy: -54.4 eV/cell
Energy relative to the elements: 0.005 eV/atom

The following is a DFT calculation (PBEsol) of a relaxed structure of Sc3Zn.

Cell: 3.210 4.220 6.078 Å, 90.00 90.63 90.00°
Atoms (fractional coordinates):
Sc 0.996 0.000 0.738
Sc 0.004 0.000 0.262
Sc 0.500 0.500 0.000
Zn 0.500 0.500 0.500

Uncorrected energy: -21.7 eV/cell
Energy relative to the elements: -0.070 eV/atom

The following is a DFT calculation (PBEsol) of a relaxed structure of Sc2Zn3.

Cell: 5.409 5.409 7.378 Å, 100.85 100.85 119.09°
Atoms (fractional coordinates):
Sc 0.837 0.492 0.106
Sc 0.386 0.730 0.894
Sc 0.980 0.136 0.394
Sc 0.742 0.587 0.606
Zn 0.420 0.563 0.240
Zn 0.323 0.180 0.760
Zn 0.430 0.073 0.260
Zn 0.813 0.170 0.740
Zn 0.035 0.035 0.000
Zn 0.285 0.785 0.500

Uncorrected energy: -39.0 eV/cell
Energy relative to the elements: -0.310 eV/atom

The following is a DFT calculation (PBEsol) of a relaxed structure of Sc5Zn24.

Cell: 8.294 8.294 8.294 Å, 109.47 109.47 109.47°
Atoms (fractional coordinates):
Sc 0.000 0.000 0.382
Sc 0.618 0.618 0.618
Sc 0.382 0.000 0.000
Sc 0.000 0.382 0.000
Sc 0.000 0.000 0.000
Zn 0.193 0.193 0.822
Zn 0.371 0.371 0.178
Zn 0.629 0.807 0.000
Zn 0.807 0.629 0.000
Zn 0.000 0.807 0.629
Zn 0.000 0.629 0.807
Zn 0.178 0.371 0.371
Zn 0.822 0.193 0.193
Zn 0.807 0.000 0.629
Zn 0.629 0.000 0.807
Zn 0.193 0.822 0.193
Zn 0.371 0.178 0.371
Zn 0.675 0.675 0.293
Zn 0.382 0.382 0.707
Zn 0.618 0.325 0.000
Zn 0.325 0.618 0.000
Zn 0.000 0.325 0.618
Zn 0.000 0.618 0.325
Zn 0.707 0.382 0.382
Zn 0.293 0.675 0.675
Zn 0.325 0.000 0.618
Zn 0.618 0.000 0.325
Zn 0.675 0.293 0.675
Zn 0.382 0.707 0.382

Uncorrected energy: -78.0 eV/cell
Energy relative to the elements: -0.242 eV/atom